[1]
First-principles (GGA-PBE) data for crystalline RbP2Se at its relaxed geometry, as listed in Alexandria.

abc: 7.7567 7.7567 6.7732
angles: 55.07 55.07 90.00
Atoms (fractional coordinates):
P 0.5099 0.1250 0.2500
P 0.2401 0.6250 0.2500
P 0.3750 0.4901 0.7500
P 0.8750 0.7599 0.7500
Se 0.5000 0.5000 0.0000
Se 0.2500 0.7500 0.5000
Rb 0.0000 0.0000 0.0000
Rb 0.7500 0.2500 0.5000

DFT total energy	-28.42	eV for the cell shown
crystal system	tetragonal
formation energy without anion corrections	0.266	eV/atom



[2]
First-principles (GGA-PBE) data for crystalline Rb5SnP3Se15 at its relaxed geometry, as listed in Alexandria.

abc: 7.4643 12.1669 19.8203
angles: 85.88 100.40 108.75
Atoms (fractional coordinates):
Rb 0.5811 0.6442 0.7560
Rb 0.2884 0.1345 0.9565
Rb 0.7116 0.8655 0.0435
Rb 0.3354 0.1462 0.5432
Rb 0.6646 0.8538 0.4568
Rb 0.0630 0.5919 0.1141
Rb 0.4189 0.3558 0.2440
Rb 0.9870 0.3809 0.6194
Rb 0.0130 0.6191 0.3806
Rb 0.9370 0.4081 0.8859
Sn 0.8299 0.0943 0.2565
Sn 0.1701 0.9057 0.7435
P 0.4093 0.2634 0.7449
P 0.2313 0.7820 0.5688
P 0.7687 0.2180 0.4312
P 0.9716 0.2274 0.0719
P 0.0284 0.7726 0.9281
P 0.5907 0.7366 0.2551
Se 0.9539 0.6845 0.6132
Se 0.1475 0.1649 0.3567
Se 0.0461 0.3155 0.3868
Se 0.5843 0.0905 0.3505
Se 0.8306 0.1293 0.5275
Se 0.1294 0.6726 0.7736
Se 0.5961 0.6437 0.1658
Se 0.4157 0.9095 0.6495
Se 0.1278 0.1271 0.7081
Se 0.8722 0.8729 0.2919
Se 0.9474 0.8950 0.8467
Se 0.0526 0.1050 0.1533
Se 0.8706 0.3274 0.2264
Se 0.8049 0.1442 0.9756
Se 0.4837 0.6197 0.3389
Se 0.6720 0.3671 0.4397
Se 0.7744 0.6276 0.9428
Se 0.6266 0.1607 0.7617
Se 0.5038 0.9960 0.1661
Se 0.1951 0.8558 0.0244
Se 0.7372 0.2822 0.1091
Se 0.1694 0.8707 0.4725
Se 0.2256 0.3724 0.0572
Se 0.3280 0.6329 0.5603
Se 0.2628 0.7178 0.8909
Se 0.4039 0.3563 0.8342
Se 0.5163 0.3803 0.6611
Se 0.4962 0.0040 0.8339
Se 0.8525 0.8351 0.6433
Se 0.3734 0.8393 0.2383

DFT total energy	-182.98	eV for the cell shown
crystal system	triclinic
formation energy without anion corrections	-0.590	eV/atom



[3]
First-principles (GGA-PBE) data for crystalline RbSnPSe6 at its relaxed geometry, as listed in Alexandria.

abc: 6.3361 6.3358 8.4767
angles: 90.00 90.00 59.99
Atoms (fractional coordinates):
Rb 0.0000 0.0000 0.9999
Sn 0.6666 0.6666 0.5000
P 0.3333 0.3333 0.5000
Se 0.0393 0.3336 0.3211
Se 0.3337 0.0393 0.6789
Se 0.6270 0.3337 0.6789
Se 0.0392 0.6271 0.6789
Se 0.3336 0.6271 0.3211
Se 0.6271 0.0393 0.3211

DFT total energy	-32.44	eV for the cell shown
crystal system	trigonal
formation energy without anion corrections	-0.128	eV/atom



[4]
First-principles (GGA-PBE) data for crystalline Rb2SnP2Se6 at its relaxed geometry, as listed in Alexandria.

abc: 7.3758 7.3758 8.6663
angles: 64.81 64.81 60.00
Atoms (fractional coordinates):
Rb 0.7691 0.7691 0.6927
Rb 0.2309 0.2309 0.3073
Sn 0.0000 0.0000 0.0000
P 0.4468 0.4468 0.6595
P 0.5532 0.5532 0.3405
Se 0.7440 0.7440 0.2786
Se 0.2335 0.7440 0.2786
Se 0.7440 0.2335 0.2786
Se 0.2560 0.7665 0.7214
Se 0.7665 0.2560 0.7214
Se 0.2560 0.2560 0.7214

DFT total energy	-43.21	eV for the cell shown
crystal system	trigonal
formation energy without anion corrections	-0.504	eV/atom



[5]
First-principles (GGA-PBE) data for crystalline RbSnP2Se8 at its relaxed geometry, as listed in Alexandria.

abc: 6.1832 6.1832 11.6423
angles: 74.60 74.60 60.00
Atoms (fractional coordinates):
Rb 0.5000 0.5000 0.5000
Sn 0.0000 0.0000 0.0000
P 0.2602 0.2602 0.2194
P 0.7398 0.7398 0.7806
Se 0.1954 0.1954 0.4137
Se 0.6099 0.3232 0.1557
Se 0.8046 0.8046 0.5863
Se 0.9112 0.6099 0.1557
Se 0.0888 0.3901 0.8443
Se 0.3232 0.9112 0.1557
Se 0.6768 0.0888 0.8443
Se 0.3901 0.6768 0.8443

DFT total energy	-46.17	eV for the cell shown
crystal system	trigonal
formation energy without anion corrections	-0.209	eV/atom



[6]
First-principles (GGA-PBE) data for crystalline Rb3SnP3Se11 at its relaxed geometry, as listed in Alexandria.

abc: 7.5350 14.5242 22.6089
angles: 104.33 90.00 90.00
Atoms (fractional coordinates):
Rb 0.3943 0.1429 0.9346
Rb 0.1808 0.1260 0.4995
Rb 0.6747 0.5005 0.7767
Rb 0.1057 0.6429 0.9346
Rb 0.8943 0.3571 0.0654
Rb 0.8192 0.8740 0.5005
Rb 0.3192 0.6260 0.4995
Rb 0.1747 0.9995 0.2233
Rb 0.6057 0.8571 0.0654
Rb 0.3253 0.4995 0.2233
Rb 0.6808 0.3740 0.5005
Rb 0.8253 0.0005 0.7767
Sn 0.3555 0.7727 0.7162
Sn 0.1445 0.2727 0.7162
Sn 0.6445 0.2273 0.2838
Sn 0.8555 0.7273 0.2838
P 0.1635 0.3775 0.6036
P 0.6635 0.1225 0.3964
P 0.3278 0.0174 0.6774
P 0.5623 0.8074 0.8815
P 0.8365 0.6225 0.3964
P 0.1722 0.5174 0.6774
P 0.9377 0.3074 0.8815
P 0.8278 0.4826 0.3226
P 0.3365 0.8775 0.6036
P 0.0623 0.6926 0.1185
P 0.4377 0.1926 0.1185
P 0.6722 0.9826 0.3226
Se 0.3254 0.8940 0.5115
Se 0.0876 0.6868 0.3727
Se 0.5884 0.6842 0.9198
Se 0.6832 0.0305 0.2347
Se 0.9264 0.9178 0.3436
Se 0.8109 0.4380 0.9310
Se 0.3109 0.0620 0.0690
Se 0.3168 0.9695 0.7653
Se 0.1272 0.7412 0.7998
Se 0.8473 0.2672 0.7827
Se 0.6168 0.7134 0.3727
Se 0.7288 0.1418 0.1220
Se 0.0736 0.0822 0.6564
Se 0.4116 0.3158 0.0802
Se 0.3728 0.2412 0.7998
Se 0.6527 0.7672 0.7827
Se 0.8728 0.2588 0.2002
Se 0.2288 0.3582 0.8780
Se 0.4264 0.5822 0.6564
Se 0.5563 0.1070 0.6751
Se 0.3473 0.2328 0.2173
Se 0.1168 0.7866 0.6273
Se 0.4124 0.1868 0.3727
Se 0.0563 0.3930 0.3249
Se 0.9116 0.1842 0.9198
Se 0.7712 0.6418 0.1220
Se 0.8168 0.5305 0.2347
Se 0.1891 0.5620 0.0690
Se 0.1746 0.3940 0.5115
Se 0.8832 0.2134 0.3727
Se 0.4437 0.8930 0.3249
Se 0.5736 0.4178 0.3436
Se 0.2712 0.8582 0.8780
Se 0.1527 0.7328 0.2173
Se 0.1832 0.4695 0.7653
Se 0.6891 0.9380 0.9310
Se 0.3832 0.2866 0.6273
Se 0.9124 0.3132 0.6273
Se 0.9437 0.6070 0.6751
Se 0.8254 0.6060 0.4885
Se 0.6272 0.7588 0.2002
Se 0.6746 0.1060 0.4885
Se 0.0884 0.8158 0.0802
Se 0.5876 0.8132 0.6273

DFT total energy	-282.85	eV for the cell shown
crystal system	monoclinic
formation energy without anion corrections	-0.514	eV/atom



[7]
First-principles (GGA-PBE) data for crystalline RbSrPSe4 at its relaxed geometry, as listed in Alexandria.

abc: 7.0687 7.0960 9.6502
angles: 90.00 108.05 90.00
Atoms (fractional coordinates):
Rb 0.7476 0.7500 0.9344
Rb 0.2524 0.2500 0.0656
Sr 0.7610 0.7500 0.4508
Sr 0.2390 0.2500 0.5492
P 0.1962 0.7500 0.3165
P 0.8038 0.2500 0.6835
Se 0.0052 0.4999 0.7260
Se 0.9948 0.9999 0.2740
Se 0.9948 0.5001 0.2740
Se 0.0052 0.0001 0.7260
Se 0.3846 0.7500 0.1702
Se 0.6154 0.2500 0.8298
Se 0.3738 0.7500 0.5517
Se 0.6262 0.2500 0.4483

DFT total energy	-58.17	eV for the cell shown
crystal system	monoclinic
formation energy without anion corrections	-1.013	eV/atom



[8]
First-principles (GGA-PBE) data for crystalline RbTaP2Se8 at its relaxed geometry, as listed in Alexandria.

abc: 6.3920 6.3920 10.8239
angles: 72.83 72.83 60.00
Atoms (fractional coordinates):
Rb 0.5000 0.5000 0.5000
Ta 0.0000 0.0000 0.0000
P 0.2636 0.2636 0.2091
P 0.7364 0.7364 0.7909
Se 0.1935 0.1935 0.4196
Se 0.6264 0.2928 0.1420
Se 0.8065 0.8065 0.5804
Se 0.9388 0.6264 0.1420
Se 0.0612 0.3736 0.8580
Se 0.2928 0.9388 0.1420
Se 0.7072 0.0612 0.8580
Se 0.3736 0.7072 0.8580

DFT total energy	-55.77	eV for the cell shown
crystal system	trigonal
formation energy without anion corrections	-0.354	eV/atom



[9]
First-principles (GGA-PBE) data for crystalline RbTePSe3 at its relaxed geometry, as listed in Alexandria.

abc: 7.5247 7.5247 9.0235
angles: 67.51 67.51 55.86
Atoms (fractional coordinates):
Rb 0.7062 0.7062 0.7361
Rb 0.2938 0.2938 0.2639
Te 0.2515 0.7485 0.5000
Te 0.7485 0.2515 0.5000
P 0.0213 0.0213 0.8630
P 0.9787 0.9787 0.1370
Se 0.2000 0.2000 0.7179
Se 0.1840 0.6722 0.8404
Se 0.6722 0.1840 0.8404
Se 0.3278 0.8160 0.1596
Se 0.8160 0.3278 0.1596
Se 0.8000 0.8000 0.2821

DFT total energy	-44.90	eV for the cell shown
crystal system	monoclinic
formation energy without anion corrections	-0.413	eV/atom



[10]
First-principles (GGA-PBE) data for crystalline Rb7Th2P6Se21 at its relaxed geometry, as listed in Alexandria.

abc: 11.7801 12.8428 16.5362
angles: 87.09 75.60 86.88
Atoms (fractional coordinates):
Rb 0.5312 0.0044 0.1768
Rb 0.4127 0.8276 0.5920
Rb 0.0622 0.1570 0.8756
Rb 0.6449 0.2847 0.9925
Rb 0.9315 0.9711 0.6508
Rb 0.2875 0.4990 0.7468
Rb 0.5873 0.1724 0.4080
Rb 0.7125 0.5010 0.2532
Rb 0.7047 0.2896 0.6710
Rb 0.3551 0.7153 0.0075
Rb 0.9378 0.8430 0.1244
Rb 0.0685 0.0289 0.3492
Rb 0.4688 0.9956 0.8232
Rb 0.2953 0.7104 0.3290
Th 0.1923 0.3679 0.4884
Th 0.1433 0.3221 0.1429
Th 0.8567 0.6779 0.8571
Th 0.8077 0.6321 0.5116
P 0.6036 0.6468 0.7511
P 0.2192 0.0314 0.0845
P 0.4112 0.2094 0.6455
P 0.9276 0.4559 0.9864
P 0.3964 0.3532 0.2489
P 0.0812 0.6327 0.5980
P 0.7570 0.8540 0.3726
P 0.9188 0.3673 0.4020
P 0.0724 0.5441 0.0136
P 0.5888 0.7906 0.3545
P 0.2430 0.1460 0.6274
P 0.7808 0.9686 0.9155
Se 0.9683 0.4946 0.6117
Se 0.7367 0.4227 0.4614
Se 0.4257 0.3477 0.5555
Se 0.2675 0.1378 0.4891
Se 0.9145 0.3002 0.2815
Se 0.0205 0.7516 0.5130
Se 0.5645 0.2660 0.2144
Se 0.6172 0.7505 0.2238
Se 0.2633 0.5773 0.5386
Se 0.4494 0.9120 0.3913
Se 0.2660 0.9107 0.1729
Se 0.3964 0.4575 0.3536
Se 0.3611 0.4364 0.1343
Se 0.7325 0.8622 0.5109
Se 0.0478 0.1099 0.1522
Se 0.4355 0.7340 0.7856
Se 0.6641 0.8295 0.9378
Se 0.0855 0.6998 0.7185
Se 0.0599 0.6969 0.9447
Se 0.1126 0.2793 0.6636
Se 0.7963 0.0413 0.0283
Se 0.7668 0.5578 0.0260
Se 0.3828 0.2495 0.7762
Se 0.9522 0.8901 0.8478
Se 0.8001 0.9968 0.2990
Se 0.6389 0.5636 0.8657
Se 0.3359 0.1705 0.0622
Se 0.2332 0.4422 0.9740
Se 0.5743 0.6523 0.4445
Se 0.7694 0.7344 0.6959
Se 0.1999 0.0032 0.7010
Se 0.0317 0.5054 0.3883
Se 0.2306 0.2656 0.3041
Se 0.9661 0.4490 0.8493
Se 0.9401 0.3031 0.0553
Se 0.5506 0.0880 0.6087
Se 0.2037 0.9587 0.9717
Se 0.7340 0.0893 0.8271
Se 0.0339 0.5510 0.1507
Se 0.6036 0.5425 0.6464
Se 0.9795 0.2484 0.4870
Se 0.8874 0.7207 0.3364

DFT total energy	-314.03	eV for the cell shown
crystal system	triclinic
formation energy without anion corrections	-0.827	eV/atom



[11]
First-principles (GGA-PBE) data for crystalline Rb2ThP3Se9 at its relaxed geometry, as listed in Alexandria.

abc: 10.4236 10.8559 17.0728
angles: 89.92 107.19 91.68
Atoms (fractional coordinates):
Rb 0.3943 0.9016 0.6749
Rb 0.6615 0.4804 0.2891
Rb 0.0786 0.8175 0.9914
Rb 0.8256 0.3888 0.5977
Rb 0.9146 0.9090 0.6829
Rb 0.1098 0.3311 0.2684
Rb 0.6305 0.9666 0.0121
Rb 0.3462 0.3964 0.6058
Th 0.5700 0.4235 0.9220
Th 0.1703 0.8742 0.3586
Th 0.1471 0.3656 0.9719
Th 0.5931 0.9321 0.3087
P 0.6506 0.2222 0.7675
P 0.3000 0.0736 0.1496
P 0.4403 0.2240 0.1310
P 0.8610 0.5778 0.0868
P 0.5795 0.7387 0.4859
P 0.8792 0.7199 0.1938
P 0.8387 0.1505 0.8587
P 0.9015 0.1472 0.4218
P 0.0896 0.0756 0.5130
P 0.3307 0.6817 0.8703
P 0.1607 0.5591 0.7948
P 0.4096 0.6161 0.4104
Se 0.6659 0.7649 0.1795
Se 0.0720 0.8719 0.5087
Se 0.0993 0.1333 0.0739
Se 0.3621 0.7176 0.2881
Se 0.0211 0.2063 0.8240
Se 0.0009 0.8805 0.1734
Se 0.9939 0.6412 0.3130
Se 0.2667 0.3757 0.8180
Se 0.5037 0.1718 0.8356
Se 0.3877 0.8989 0.1288
Se 0.4045 0.2169 0.9939
Se 0.3525 0.3987 0.1517
Se 0.7393 0.4172 0.1072
Se 0.4735 0.9220 0.4626
Se 0.6684 0.4259 0.7720
Se 0.3357 0.0808 0.2866
Se 0.4608 0.4253 0.4144
Se 0.8465 0.2705 0.9694
Se 0.4896 0.6427 0.8119
Se 0.6183 0.1431 0.6473
Se 0.7191 0.0916 0.4565
Se 0.1220 0.1548 0.6333
Se 0.0042 0.5624 0.8585
Se 0.7990 0.9541 0.8642
Se 0.8937 0.0272 0.3112
Se 0.0743 0.5328 0.1011
Se 0.7463 0.6564 0.9675
Se 0.3782 0.5801 0.9925
Se 0.9412 0.3436 0.4163
Se 0.7360 0.7353 0.4221
Se 0.2507 0.6550 0.4687
Se 0.6391 0.6828 0.6121
Se 0.2364 0.1260 0.4449
Se 0.2796 0.8724 0.8663
Se 0.6410 0.1644 0.2067
Se 0.1012 0.6149 0.6685

DFT total energy	-273.51	eV for the cell shown
crystal system	triclinic
formation energy without anion corrections	-0.762	eV/atom



[12]
First-principles (GGA-PBE) data for crystalline RbTiP2Se8 at its relaxed geometry, as listed in Alexandria.

abc: 6.3678 6.3678 10.5921
angles: 72.51 72.51 60.00
Atoms (fractional coordinates):
Rb 0.5000 0.5000 0.5000
Ti 0.0000 0.0000 0.0000
P 0.2645 0.2645 0.2064
P 0.7355 0.7355 0.7936
Se 0.1921 0.1921 0.4237
Se 0.6239 0.2979 0.1396
Se 0.8079 0.8079 0.5763
Se 0.9386 0.6239 0.1396
Se 0.0614 0.3761 0.8604
Se 0.2979 0.9386 0.1396
Se 0.7021 0.0614 0.8604
Se 0.3761 0.7021 0.8604

DFT total energy	-52.35	eV for the cell shown
crystal system	trigonal
formation energy without anion corrections	-0.399	eV/atom



- What is the formula in the ninth record?
  RbTePSe3